! YTcNO, optimized geometry, DFT PBE; values from VASP
&SYSTEM
  ibrav = 0, nat = 16, ntyp = 4
/
ATOMIC_SPECIES
N 14.01 N.upf
O 16.00 O.upf
Tc 98.00 Tc.upf
Y 88.91 Y.upf
CELL_PARAMETERS angstrom
6.039 0.000 0.000
0.000 7.552 0.000
0.000 0.000 4.899
ATOMIC_POSITIONS angstrom
N 2.663 2.719 0.117
N 5.682 4.833 0.117
N 0.357 2.719 2.566
N 3.377 4.833 2.566
O 5.795 0.440 0.673
O 2.776 7.112 0.673
O 3.264 0.440 3.123
O 0.244 7.112 3.123
Tc 3.848 1.229 0.076
Tc 0.828 6.323 0.076
Tc 5.211 1.229 2.526
Tc 2.191 6.323 2.526
Y 0.347 2.615 0.125
Y 3.366 4.937 0.125
Y 2.673 2.615 2.575
Y 5.692 4.937 2.575
! Magnetization in μB/cell: 0.01
! Crystal system: orthorhombic
! Space-group type: Pca2_1, No. 29
! Distance to the lowest polymorph of the same formula in eV per atom: 0.471

***

! YTcNO, optimized geometry, DFT PBE; values from VASP
&SYSTEM
  ibrav = 0, nat = 8, ntyp = 4
/
ATOMIC_SPECIES
N 14.01 N.upf
O 16.00 O.upf
Tc 98.00 Tc.upf
Y 88.91 Y.upf
CELL_PARAMETERS angstrom
-2.090 1.861 -2.528
-1.947 -3.150 -0.709
-5.050 1.871 5.552
ATOMIC_POSITIONS angstrom
N -4.920 -0.266 -0.348
N -4.167 0.848 2.663
O -2.054 0.608 -2.073
O -1.983 -1.898 -1.164
Tc -4.579 1.544 0.703
Tc -4.508 -0.962 1.612
Y -1.760 -0.044 0.016
Y -7.327 0.626 2.299
! Magnetization in μB/cell: 0.00
! Crystal system: tetragonal
! Space-group type: P4/nmm, No. 129
! Distance to the lowest polymorph of the same formula in eV per atom: 0.114

***

! YTcNO, optimized geometry, DFT PBE; values from VASP
&SYSTEM
  ibrav = 0, nat = 16, ntyp = 4
/
ATOMIC_SPECIES
N 14.01 N.upf
O 16.00 O.upf
Tc 98.00 Tc.upf
Y 88.91 Y.upf
CELL_PARAMETERS angstrom
-3.601 2.607 1.659
-2.022 0.447 -5.092
-4.584 -7.093 1.197
ATOMIC_POSITIONS angstrom
N -3.546 0.933 0.839
N -2.313 -0.245 -1.419
N -7.800 -3.862 -0.860
N -6.567 -5.040 -3.118
O -4.756 -1.448 -1.765
O -7.186 -0.005 -2.522
O -4.554 -2.924 0.992
O -6.984 -1.482 0.236
Tc -0.567 0.164 -0.498
Tc -2.876 1.580 -0.949
Tc -6.056 -6.542 -1.874
Tc -8.365 -5.126 -2.326
Y -5.981 0.218 -0.709
Y -5.099 -0.882 -3.851
Y -6.401 -2.220 2.211
Y -5.519 -3.321 -0.931
! Magnetization in μB/cell: 0.00
! Crystal system: orthorhombic
! Space-group type: Pca2_1, No. 29
! Distance to the lowest polymorph of the same formula in eV per atom: 0.000

***

! YTcNO, optimized geometry, DFT PBE; values from VASP
&SYSTEM
  ibrav = 0, nat = 8, ntyp = 4
/
ATOMIC_SPECIES
N 14.01 N.upf
O 16.00 O.upf
Tc 98.00 Tc.upf
Y 88.91 Y.upf
CELL_PARAMETERS angstrom
-2.609 -2.351 0.422
0.203 -1.130 -5.047
4.188 -4.439 1.162
ATOMIC_POSITIONS angstrom
N 1.705 -2.691 -4.455
N 2.773 -3.366 -1.607
O -0.943 -1.867 -1.410
O 2.760 -6.250 -2.934
Tc -0.088 -3.362 -4.458
Tc 1.964 -5.080 -1.337
Y 1.225 -1.729 -2.059
Y 3.255 -4.338 -4.048
! Magnetization in μB/cell: 0.00
! Crystal system: orthorhombic
! Space-group type: Pmc2_1, No. 26
! Distance to the lowest polymorph of the same formula in eV per atom: 0.396

***

Repeat the third record exactly.
! YTcNO, optimized geometry, DFT PBE; values from VASP
&SYSTEM
  ibrav = 0, nat = 16, ntyp = 4
/
ATOMIC_SPECIES
N 14.01 N.upf
O 16.00 O.upf
Tc 98.00 Tc.upf
Y 88.91 Y.upf
CELL_PARAMETERS angstrom
-3.601 2.607 1.659
-2.022 0.447 -5.092
-4.584 -7.093 1.197
ATOMIC_POSITIONS angstrom
N -3.546 0.933 0.839
N -2.313 -0.245 -1.419
N -7.800 -3.862 -0.860
N -6.567 -5.040 -3.118
O -4.756 -1.448 -1.765
O -7.186 -0.005 -2.522
O -4.554 -2.924 0.992
O -6.984 -1.482 0.236
Tc -0.567 0.164 -0.498
Tc -2.876 1.580 -0.949
Tc -6.056 -6.542 -1.874
Tc -8.365 -5.126 -2.326
Y -5.981 0.218 -0.709
Y -5.099 -0.882 -3.851
Y -6.401 -2.220 2.211
Y -5.519 -3.321 -0.931
! Magnetization in μB/cell: 0.00
! Crystal system: orthorhombic
! Space-group type: Pca2_1, No. 29
! Distance to the lowest polymorph of the same formula in eV per atom: 0.000